Here is a relaxed structure of EuYTlHg from Alexandria via LeMat-Bulk. Energies are from PBE.

Structure (POSCAR):
```
EuYTlHg
1.0
7.694 0.000 0.000
0.000 7.694 0.000
0.000 0.000 7.694
Eu Y Tl Hg
4 4 4 4
Cartesian
0.000 0.000 0.000
0.000 3.847 3.847
3.847 0.000 3.847
3.847 3.847 0.000
0.000 0.000 3.847
0.000 3.847 0.000
3.847 0.000 0.000
3.847 3.847 3.847
1.923 1.923 5.770
1.923 5.770 1.923
5.770 1.923 1.923
5.770 5.770 5.770
1.923 1.923 1.923
1.923 5.770 5.770
5.770 1.923 5.770
5.770 5.770 1.923
```

Properties
calculated formation energy	-446	meV/atom
energy	-84.8	eV per cell
magnetization	1.8029	μB per atom

Here is a relaxed structure of BePtBr from Alexandria via LeMat-Bulk. Energies are from PBE.

Structure (POSCAR):
```
BePtBr
1.0
3.092 0.000 0.000
-1.546 2.678 0.000
0.000 0.000 6.355
Be Pt Br
1 1 1
Cartesian
0.000 0.000 0.000
0.000 1.785 4.729
1.546 0.893 1.430
```

Properties
energy	-11.7	eV per cell
magnetization	0.0000	μB per atom

Here is a relaxed structure of Er8CdCu2 from Alexandria via LeMat-Bulk. Energies are from PBE.

Structure (POSCAR):
```
Er8CdCu2
1.0
4.283 -6.733 0.000
4.283 6.733 0.000
-1.506 0.000 5.126
Er Cd Cu
8 1 2
Cartesian
0.890 1.684 3.031
4.283 3.519 0.000
0.890 -1.684 3.031
3.057 0.000 1.002
4.003 0.000 4.124
6.169 1.684 2.095
4.283 -3.519 0.000
6.169 -1.684 2.095
0.000 0.000 0.000
3.530 2.604 2.563
3.530 -2.604 2.563
```

Properties
calculated formation energy	-29	meV/atom
energy	-45.9	eV per cell
magnetization	0.0037	μB per atom

Here is a relaxed structure of LiSm2Cl from Alexandria via LeMat-Bulk. Energies are from PBE.

Structure (POSCAR):
```
LiSm2Cl
1.0
3.460 0.000 0.000
-1.730 2.997 0.000
0.000 0.000 33.273
Li Sm Cl
3 6 3
Cartesian
0.000 0.000 0.000
0.000 1.998 22.182
1.730 0.999 11.091
0.000 0.000 3.280
0.000 0.000 29.992
0.000 1.998 18.902
0.000 1.998 25.462
1.730 0.999 7.811
1.730 0.999 14.371
0.000 0.000 16.636
0.000 1.998 5.545
1.730 0.999 27.727
```

Properties
energy	-44.6	eV per cell
magnetization	0.0007	μB per atom